# 1
V2ReI: optimized geometry, PBE.

Cell and atoms, written as POSCAR:
```
V2ReI
1.0
0.0000 3.1806 3.1806
3.1806 0.0000 3.1806
3.1806 3.1806 0.0000
V Re I
2 1 1
Cartesian
1.5903 1.5903 1.5903
4.7708 4.7708 4.7708
3.1806 3.1806 3.1806
0.0000 0.0000 0.0000
```

Summary:
* density: 10.71 Mg/m³
* formation energy without anion corrections: 0.87 eV/atom
* distance to the lowest polymorph of the same formula: 0 meV/atom
* calculated total energy: -7.19 eV/atom

# 2
ReWI3: optimized geometry, PBE.

Cell and atoms, written as POSCAR:
```
ReWI3
1.0
-3.7736 -3.5389 2.2441
3.3578 -4.3603 -1.2298
2.5069 0.5133 5.0251
I W Re
3 1 1
Cartesian
1.2535 0.2567 2.5125
1.6789 -2.1802 -0.6149
-1.8868 -1.7695 1.1220
0.0000 0.0000 0.0000
1.0456 -3.6930 3.0197
```

Summary:
* density: 6.95 Mg/m³
* formation energy without anion corrections: 1.80 eV/atom
* distance to the lowest polymorph of the same formula: 0 meV/atom
* calculated total energy: -4.21 eV/atom

# 3
Re3WI: optimized geometry, PBE.

Cell and atoms, written as POSCAR:
```
Re3WI
1.0
-3.7481 -2.2834 1.7480
1.2028 -3.8532 -2.4544
2.6120 -1.5022 3.6384
Re I W
3 1 1
Cartesian
1.3060 -0.7511 1.8192
-1.8740 -1.1417 0.8740
0.6014 -1.9266 -1.2272
0.0000 0.0000 0.0000
0.0334 -3.8194 1.4660
```

Summary:
* density: 13.69 Mg/m³
* formation energy without anion corrections: 3.24 eV/atom
* distance to the lowest polymorph of the same formula: 708 meV/atom
* calculated total energy: -7.13 eV/atom

# 4
ReWI2: optimized geometry, PBE.

Cell and atoms, written as POSCAR:
```
ReWI2
1.0
0.0000 3.3664 3.3664
3.3664 0.0000 3.3664
3.3664 3.3664 0.0000
W Re I
1 1 2
Cartesian
0.0000 0.0000 0.0000
3.3664 3.3664 3.3664
1.6832 1.6832 1.6832
5.0496 5.0496 5.0496
```

Summary:
* density: 13.58 Mg/m³
* formation energy without anion corrections: 1.69 eV/atom
* distance to the lowest polymorph of the same formula: 0 meV/atom
* calculated total energy: -5.43 eV/atom